La2AlCr | Alexandria | PBEsol | optimized geometry; calculated formation energy = 0.7 eV per formula unit; VASP energy = -6.09 eV per atom; total magnetic moment = 3.633 μB per cell
1.0
-2.675 2.686 -0.132
-0.154 0.033 3.789
5.039 5.025 0.161
Cr Al La
1 1 2
Cartesian
1.105 3.872 1.909
-1.414 1.359 1.829
1.283 1.280 0.041
3.755 3.746 0.120

Sr2CaEu | Alexandria | PBEsol | optimized geometry; calculated formation energy = 0.2 eV per formula unit; VASP energy = -4.05 eV per atom; total magnetic moment = 7.821 μB per cell
1.0
6.357 0.000 0.000
3.179 5.506 0.000
3.179 1.835 5.191
Eu Ca Sr
1 1 2
Cartesian
0.000 0.000 0.000
6.357 3.670 2.595
9.536 5.506 3.893
3.179 1.835 1.298

ZnCuS2 | Alexandria | PBEsol | optimized geometry; VASP energy = -4.13 eV per atom; total magnetic moment = 0.000 μB per cell; raw formation energy = -10.60 kcal/mol of atoms
1.0
-2.184 -4.160 2.307
3.009 -3.174 -2.875
3.283 3.794 4.012
S Zn Cu
4 2 2
Cartesian
2.942 -1.700 2.688
0.065 -3.832 1.915
2.609 -3.439 -0.620
2.602 1.891 2.903
3.353 -1.523 0.426
0.000 0.000 0.000
0.756 -2.016 3.017
0.413 -3.667 -0.284

ReHg2Rh | Alexandria | PBEsol | optimized geometry; calculated formation energy = 2.8 eV per formula unit; VASP energy = -4.96 eV per atom; total magnetic moment = 0.002 μB per cell; distance to the lowest polymorph of the same formula = 0.000 eV per atom
1.0
-0.267 -2.299 1.635
0.781 -2.371 -3.206
5.631 0.210 1.216
Re Hg Rh
1 2 1
Cartesian
0.257 -2.335 -0.786
4.206 0.157 0.908
1.425 0.053 0.308
3.072 -2.230 -0.178

CdAg2Te | Alexandria | PBEsol | optimized geometry; VASP energy = -2.83 eV per atom; total magnetic moment = 0.000 μB per cell; raw formation energy = 0.20 kcal/mol of atoms; distance to the lowest polymorph of the same formula = 0.000 eV per atom
1.0
3.000 0.000 0.000
0.000 4.183 0.000
0.000 0.000 6.766
Cd Ag Te
1 2 1
Cartesian
1.500 2.092 0.000
0.000 0.000 5.388
0.000 0.000 1.378
0.000 2.092 3.383

HgOs2Pt | Alexandria | PBEsol | optimized geometry; calculated formation energy = 2.6 eV per formula unit; VASP energy = -7.35 eV per atom; total magnetic moment = 0.000 μB per cell
1.0
-1.148 0.558 -2.424
3.737 -1.920 -2.212
-3.526 -3.713 2.363
Os Pt Hg
2 1 1
Cartesian
-0.100 -0.197 0.002
-1.622 -1.785 -1.191
-2.162 -4.257 0.044
0.716 -3.229 -1.083

K2CrO4 | Alexandria | PBEsol | optimized geometry; VASP energy = -6.79 eV per atom; total magnetic moment = 0.000 μB per cell; raw formation energy = -46.27 kcal/mol of atoms
1.0
5.862 0.000 0.000
0.000 7.611 0.000
0.000 0.000 10.320
K O Cr
8 16 4
Cartesian
4.397 6.367 5.976
4.397 0.051 2.040
1.466 5.051 0.817
4.397 2.561 9.503
1.466 1.245 4.343
1.466 7.561 8.280
1.466 3.755 7.199
4.397 3.856 3.120
0.121 6.067 3.542
2.810 2.262 1.618
5.741 1.544 6.778
4.397 3.722 5.941
3.052 5.350 8.702
5.741 5.350 8.702
3.052 1.544 6.778
1.466 6.152 5.861
2.810 6.067 3.542
1.466 2.346 9.619
1.466 0.084 0.781
4.397 5.265 0.701
4.397 7.527 9.539
1.466 3.890 4.379
4.397 1.459 4.459
0.121 2.262 1.618
4.397 2.081 5.991
1.466 1.725 0.831
4.397 5.886 9.488
1.466 5.531 4.328

SrAlSe | Alexandria | PBEsol | optimized geometry; VASP energy = -3.78 eV per atom; total magnetic moment = 0.000 μB per cell; raw formation energy = -11.89 kcal/mol of atoms; distance to the lowest polymorph of the same formula = 0.099 eV per atom
1.0
5.036 0.000 0.000
2.518 4.361 0.000
2.518 1.454 4.112
Se Sr Al
1 1 1
Cartesian
7.554 4.361 3.084
0.000 0.000 0.000
5.036 2.907 2.056